Run A
# KCdSe, optimized geometry, DFT GGA-PBE
# - calculated volume (Å³ per cell) = 92
# - crystal system = tetragonal
# - ρ (g/cm³) = 4.2
# - total moment (μB/f.u.) = 0.48
data_KCdSe
_symmetry_space_group_name_H-M 'P 1'
_symmetry_Int_Tables_number 1
_symmetry_space_group_name_Hall 'P 1'
_cell_length_a 6.415
_cell_length_b 6.415
_cell_length_c 3.989
_cell_angle_alpha 71.89
_cell_angle_beta 71.88
_cell_angle_gamma 36.23
loop_
_atom_site_label
_atom_site_fract_x
_atom_site_fract_y
_atom_site_fract_z
Cd1 0.045 0.045 0.955
Se1 0.624 0.624 0.376
K1 0.330 0.330 0.670

=====

Run B
# KCdSe, optimized geometry, DFT GGA-PBE
# - calculated volume (Å³ per cell) = 102
# - crystal system = cubic
# - ρ (g/cm³) = 3.7
# - total moment (μB/f.u.) = 0.00
data_KCdSe
_symmetry_space_group_name_H-M 'P 1'
_symmetry_Int_Tables_number 1
_symmetry_space_group_name_Hall 'P 1'
_cell_length_a 5.253
_cell_length_b 5.253
_cell_length_c 5.253
_cell_angle_alpha 60.00
_cell_angle_beta 60.00
_cell_angle_gamma 60.00
loop_
_atom_site_label
_atom_site_fract_x
_atom_site_fract_y
_atom_site_fract_z
Cd1 0.500 0.500 0.500
K1 0.750 0.750 0.750
Se1 0.000 0.000 0.000

=====

Most stable pick: run A. Distance to second place: 0.274 eV/atom.

=====

Run A
# K2CdSi2, optimized geometry, DFT GGA-PBE
# - calculated volume (Å³ per cell) = 146
# - crystal system = tetragonal
# - ρ (g/cm³) = 2.8
# - total moment (μB/f.u.) = 0.00
data_K2CdSi2
_symmetry_space_group_name_H-M 'P 1'
_symmetry_Int_Tables_number 1
_symmetry_space_group_name_Hall 'P 1'
_cell_length_a 3.548
_cell_length_b 3.548
_cell_length_c 11.892
_cell_angle_alpha 81.42
_cell_angle_beta 81.42
_cell_angle_gamma 90.00
loop_
_atom_site_label
_atom_site_fract_x
_atom_site_fract_y
_atom_site_fract_z
Si1 0.250 0.750 0.500
Si2 0.750 0.250 0.500
K1 0.379 0.379 0.241
K2 0.621 0.621 0.759
Cd1 0.000 0.000 0.000

=====

Run B
# K2CdSi2, optimized geometry, DFT GGA-PBE
# - calculated volume (Å³ per cell) = 195
# - crystal system = tetragonal
# - ρ (g/cm³) = 2.1
# - total moment (μB/f.u.) = 0.00
data_K2CdSi2
_symmetry_space_group_name_H-M 'P 1'
_symmetry_Int_Tables_number 1
_symmetry_space_group_name_Hall 'P 1'
_cell_length_a 6.321
_cell_length_b 6.321
_cell_length_c 6.622
_cell_angle_alpha 61.49
_cell_angle_beta 61.49
_cell_angle_gamma 90.00
loop_
_atom_site_label
_atom_site_fract_x
_atom_site_fract_y
_atom_site_fract_z
K1 0.750 0.250 0.500
K2 0.250 0.750 0.500
Si1 0.391 0.391 0.218
Si2 0.609 0.609 0.782
Cd1 0.000 0.000 0.000

=====

Run C
# K2CdSi2, optimized geometry, DFT GGA-PBE
# - calculated volume (Å³ per cell) = 316
# - crystal system = tetragonal
# - ρ (g/cm³) = 2.6
# - total moment (μB/f.u.) = 0.00
data_K2CdSi2
_symmetry_space_group_name_H-M 'P 1'
_symmetry_Int_Tables_number 1
_symmetry_space_group_name_Hall 'P 1'
_cell_length_a 9.639
_cell_length_b 9.639
_cell_length_c 3.399
_cell_angle_alpha 90.00
_cell_angle_beta 90.00
_cell_angle_gamma 90.00
loop_
_atom_site_label
_atom_site_fract_x
_atom_site_fract_y
_atom_site_fract_z
K1 0.707 0.793 0.500
K2 0.793 0.293 0.500
K3 0.293 0.207 0.500
K4 0.207 0.707 0.500
Si1 0.418 0.918 0.000
Si2 0.918 0.582 0.000
Si3 0.082 0.418 0.000
Si4 0.582 0.082 0.000
Cd1 0.000 0.000 0.000
Cd2 0.500 0.500 0.000

=====

Most stable pick: run A. Distance to second place: 0.103 eV/atom.

=====

Run A
# KCd3Si, optimized geometry, DFT GGA-PBE
# - calculated volume (Å³ per cell) = 272
# - crystal system = cubic
# - ρ (g/cm³) = 2.5
# - total moment (μB/f.u.) = 2.89
data_KCd3Si
_symmetry_space_group_name_H-M 'P 1'
_symmetry_Int_Tables_number 1
_symmetry_space_group_name_Hall 'P 1'
_cell_length_a 6.478
_cell_length_b 6.478
_cell_length_c 6.478
_cell_angle_alpha 90.00
_cell_angle_beta 90.00
_cell_angle_gamma 90.00
loop_
_atom_site_label
_atom_site_fract_x
_atom_site_fract_y
_atom_site_fract_z
Si1 0.500 0.500 0.500
Cd1 0.500 0.000 0.000
Cd2 0.000 0.000 0.500
Cd3 0.000 0.500 0.000
K1 0.000 0.000 0.000

=====

Run B
# KCd3Si, optimized geometry, DFT GGA-PBE
# - calculated volume (Å³ per cell) = 159
# - crystal system = cubic
# - ρ (g/cm³) = 4.2
# - total moment (μB/f.u.) = 0.00
data_KCd3Si
_symmetry_space_group_name_H-M 'P 1'
_symmetry_Int_Tables_number 1
_symmetry_space_group_name_Hall 'P 1'
_cell_length_a 5.412
_cell_length_b 5.412
_cell_length_c 5.412
_cell_angle_alpha 90.00
_cell_angle_beta 90.00
_cell_angle_gamma 90.00
loop_
_atom_site_label
_atom_site_fract_x
_atom_site_fract_y
_atom_site_fract_z
Cd1 0.000 0.000 0.500
Cd2 0.000 0.500 0.000
Cd3 0.500 0.000 0.000
Si1 0.000 0.000 0.000
K1 0.500 0.500 0.500

=====

Most stable pick: run B. Distance to second place: 0.900 eV/atom.

=====

Run A
# KCdSi, optimized geometry, DFT GGA-PBE
# - calculated volume (Å³ per cell) = 90
# - crystal system = cubic
# - ρ (g/cm³) = 3.3
# - total moment (μB/f.u.) = 0.72
data_KCdSi
_symmetry_space_group_name_H-M 'P 1'
_symmetry_Int_Tables_number 1
_symmetry_space_group_name_Hall 'P 1'
_cell_length_a 5.032
_cell_length_b 5.032
_cell_length_c 5.032
_cell_angle_alpha 60.00
_cell_angle_beta 60.00
_cell_angle_gamma 60.00
loop_
_atom_site_label
_atom_site_fract_x
_atom_site_fract_y
_atom_site_fract_z
K1 0.500 0.500 0.500
Cd1 0.000 0.000 0.000
Si1 0.750 0.750 0.750

=====

Run B
# KCdSi, optimized geometry, DFT GGA-PBE
# - calculated volume (Å³ per cell) = 107
# - crystal system = cubic
# - ρ (g/cm³) = 2.8
# - total moment (μB/f.u.) = 1.57
data_KCdSi
_symmetry_space_group_name_H-M 'P 1'
_symmetry_Int_Tables_number 1
_symmetry_space_group_name_Hall 'P 1'
_cell_length_a 5.336
_cell_length_b 5.336
_cell_length_c 5.336
_cell_angle_alpha 60.00
_cell_angle_beta 60.00
_cell_angle_gamma 60.00
loop_
_atom_site_label
_atom_site_fract_x
_atom_site_fract_y
_atom_site_fract_z
Cd1 0.500 0.500 0.500
Si1 0.000 0.000 0.000
K1 0.750 0.750 0.750

=====

Run C
# KCdSi, optimized geometry, DFT GGA-PBE
# - calculated volume (Å³ per cell) = 78
# - crystal system = tetragonal
# - ρ (g/cm³) = 3.8
# - total moment (μB/f.u.) = 0.00
data_KCdSi
_symmetry_space_group_name_H-M 'P 1'
_symmetry_Int_Tables_number 1
_symmetry_space_group_name_Hall 'P 1'
_cell_length_a 7.753
_cell_length_b 7.753
_cell_length_c 3.235
_cell_angle_alpha 77.96
_cell_angle_beta 77.96
_cell_angle_gamma 24.08
loop_
_atom_site_label
_atom_site_fract_x
_atom_site_fract_y
_atom_site_fract_z
Si1 0.650 0.650 0.350
Cd1 0.024 0.024 0.976
K1 0.326 0.326 0.674

=====

Run D
# KCdSi, optimized geometry, DFT GGA-PBE
# - calculated volume (Å³ per cell) = 82
# - crystal system = orthorhombic
# - ρ (g/cm³) = 3.7
# - total moment (μB/f.u.) = 0.00
data_KCdSi
_symmetry_space_group_name_H-M 'P 1'
_symmetry_Int_Tables_number 1
_symmetry_space_group_name_Hall 'P 1'
_cell_length_a 6.696
_cell_length_b 6.696
_cell_length_c 6.696
_cell_angle_alpha 153.17
_cell_angle_beta 142.79
_cell_angle_gamma 46.47
loop_
_atom_site_label
_atom_site_fract_x
_atom_site_fract_y
_atom_site_fract_z
Si1 0.628 0.628 0.000
Cd1 0.044 0.044 0.000
K1 0.329 0.329 0.000

=====

Most stable pick: run D. Distance to second place: 0.089 eV/atom.

=====

Run A
# KCdSi3, optimized geometry, DFT GGA-PBE
# - calculated volume (Å³ per cell) = 167
# - crystal system = cubic
# - ρ (g/cm³) = 2.4
# - total moment (μB/f.u.) = 0.00
data_KCdSi3
_symmetry_space_group_name_H-M 'P 1'
_symmetry_Int_Tables_number 1
_symmetry_space_group_name_Hall 'P 1'
_cell_length_a 5.502
_cell_length_b 5.502
_cell_length_c 5.502
_cell_angle_alpha 90.00
_cell_angle_beta 90.00
_cell_angle_gamma 90.00
loop_
_atom_site_label
_atom_site_fract_x
_atom_site_fract_y
_atom_site_fract_z
Si1 0.000 0.000 0.500
Si2 0.000 0.500 0.000
Si3 0.500 0.000 0.000
K1 0.000 0.000 0.000
Cd1 0.500 0.500 0.500

=====

Run B
# KCdSi3, optimized geometry, DFT GGA-PBE
# - calculated volume (Å³ per cell) = 142
# - crystal system = cubic
# - ρ (g/cm³) = 2.8
# - total moment (μB/f.u.) = 0.00
data_KCdSi3
_symmetry_space_group_name_H-M 'P 1'
_symmetry_Int_Tables_number 1
_symmetry_space_group_name_Hall 'P 1'
_cell_length_a 5.221
_cell_length_b 5.221
_cell_length_c 5.221
_cell_angle_alpha 90.00
_cell_angle_beta 90.00
_cell_angle_gamma 90.00
loop_
_atom_site_label
_atom_site_fract_x
_atom_site_fract_y
_atom_site_fract_z
Cd1 0.000 0.000 0.000
Si1 0.000 0.500 0.000
Si2 0.500 0.000 0.000
Si3 0.000 0.000 0.500
K1 0.500 0.500 0.500

=====

Most stable pick: run B. Distance to second place: 1.011 eV/atom.

=====

Run A
# K3Cd4Sn4, optimized geometry, DFT GGA-PBE
# - calculated volume (Å³ per cell) = 362
# - crystal system = orthorhombic
# - ρ (g/cm³) = 4.8
# - total moment (μB/f.u.) = 0.00
data_K3Cd4Sn4
_symmetry_space_group_name_H-M 'P 1'
_symmetry_Int_Tables_number 1
_symmetry_space_group_name_Hall 'P 1'
_cell_length_a 4.938
_cell_length_b 4.942
_cell_length_c 15.224
_cell_angle_alpha 99.34
_cell_angle_beta 99.33
_cell_angle_gamma 90.00
loop_
_atom_site_label
_atom_site_fract_x
_atom_site_fract_y
_atom_site_fract_z
K1 0.649 0.149 0.297
K2 0.000 0.000 0.000
K3 0.351 0.851 0.703
Sn1 0.193 0.693 0.387
Sn2 0.548 0.548 0.095
Sn3 0.807 0.307 0.613
Sn4 0.452 0.452 0.905
Cd1 0.251 0.251 0.501
Cd2 0.096 0.596 0.193
Cd3 0.749 0.749 0.499
Cd4 0.904 0.404 0.807

=====

Run B
# K3Cd4Sn4, optimized geometry, DFT GGA-PBE
# - calculated volume (Å³ per cell) = 381
# - crystal system = cubic
# - ρ (g/cm³) = 4.5
# - total moment (μB/f.u.) = 0.00
data_K3Cd4Sn4
_symmetry_space_group_name_H-M 'P 1'
_symmetry_Int_Tables_number 1
_symmetry_space_group_name_Hall 'P 1'
_cell_length_a 7.913
_cell_length_b 7.913
_cell_length_c 7.913
_cell_angle_alpha 109.47
_cell_angle_beta 109.47
_cell_angle_gamma 109.47
loop_
_atom_site_label
_atom_site_fract_x
_atom_site_fract_y
_atom_site_fract_z
K1 0.000 0.500 0.500
K2 0.500 0.000 0.500
K3 0.500 0.500 0.000
Sn1 0.675 0.675 0.675
Sn2 0.325 0.000 0.000
Sn3 0.000 0.000 0.325
Sn4 0.000 0.325 0.000
Cd1 0.319 0.319 0.319
Cd2 0.000 0.000 0.681
Cd3 0.681 0.000 0.000
Cd4 0.000 0.681 0.000

=====

Most stable pick: run A. Distance to second place: 0.054 eV/atom.

=====

Run A
# K2Cd2Sn, optimized geometry, DFT GGA-PBE
# - calculated volume (Å³ per cell) = 189
# - crystal system = tetragonal
# - ρ (g/cm³) = 3.7
# - total moment (μB/f.u.) = 0.00
data_K2Cd2Sn
_symmetry_space_group_name_H-M 'P 1'
_symmetry_Int_Tables_number 1
_symmetry_space_group_name_Hall 'P 1'
_cell_length_a 4.068
_cell_length_b 4.068
_cell_length_c 11.758
_cell_angle_alpha 80.04
_cell_angle_beta 80.04
_cell_angle_gamma 90.00
loop_
_atom_site_label
_atom_site_fract_x
_atom_site_fract_y
_atom_site_fract_z
Cd1 0.250 0.750 0.500
Cd2 0.750 0.250 0.500
Sn1 0.000 0.000 0.000
K1 0.604 0.604 0.793
K2 0.396 0.396 0.207

=====

Run B
# K2Cd2Sn, optimized geometry, DFT GGA-PBE
# - calculated volume (Å³ per cell) = 346
# - crystal system = tetragonal
# - ρ (g/cm³) = 4.0
# - total moment (μB/f.u.) = 0.00
data_K2Cd2Sn
_symmetry_space_group_name_H-M 'P 1'
_symmetry_Int_Tables_number 1
_symmetry_space_group_name_Hall 'P 1'
_cell_length_a 7.703
_cell_length_b 7.703
_cell_length_c 5.837
_cell_angle_alpha 90.00
_cell_angle_beta 90.00
_cell_angle_gamma 90.00
loop_
_atom_site_label
_atom_site_fract_x
_atom_site_fract_y
_atom_site_fract_z
Sn1 0.000 0.000 0.000
Sn2 0.500 0.500 0.000
Cd1 0.366 0.866 0.000
Cd2 0.866 0.634 0.000
Cd3 0.134 0.366 0.000
Cd4 0.634 0.134 0.000
K1 0.316 0.184 0.500
K2 0.684 0.816 0.500
K3 0.816 0.316 0.500
K4 0.184 0.684 0.500

=====

Run C
# K2Cd2Sn, optimized geometry, DFT GGA-PBE
# - calculated volume (Å³ per cell) = 182
# - crystal system = tetragonal
# - ρ (g/cm³) = 3.9
# - total moment (μB/f.u.) = 0.00
data_K2Cd2Sn
_symmetry_space_group_name_H-M 'P 1'
_symmetry_Int_Tables_number 1
_symmetry_space_group_name_Hall 'P 1'
_cell_length_a 4.920
_cell_length_b 4.920
_cell_length_c 8.272
_cell_angle_alpha 72.70
_cell_angle_beta 72.70
_cell_angle_gamma 90.00
loop_
_atom_site_label
_atom_site_fract_x
_atom_site_fract_y
_atom_site_fract_z
Sn1 0.000 0.000 0.000
Cd1 0.591 0.591 0.817
Cd2 0.409 0.409 0.183
K1 0.250 0.750 0.500
K2 0.750 0.250 0.500

=====

Run D
# K2Cd2Sn, optimized geometry, DFT GGA-PBE
# - calculated volume (Å³ per cell) = 176
# - crystal system = orthorhombic
# - ρ (g/cm³) = 4.0
# - total moment (μB/f.u.) = 0.00
data_K2Cd2Sn
_symmetry_space_group_name_H-M 'P 1'
_symmetry_Int_Tables_number 1
_symmetry_space_group_name_Hall 'P 1'
_cell_length_a 5.054
_cell_length_b 6.858
_cell_length_c 6.858
_cell_angle_alpha 54.19
_cell_angle_beta 68.38
_cell_angle_gamma 68.38
loop_
_atom_site_label
_atom_site_fract_x
_atom_site_fract_y
_atom_site_fract_z
K1 0.699 0.801 0.302
K2 0.301 0.199 0.698
Cd1 0.000 0.239 0.261
Cd2 0.000 0.761 0.739
Sn1 0.500 0.500 0.000

=====

Most stable pick: run D. Distance to second place: 0.073 eV/atom.

=====

Run A
# KCd3Sn2, optimized geometry, DFT GGA-PBE
# - calculated volume (Å³ per cell) = 341
# - crystal system = monoclinic
# - ρ (g/cm³) = 6.0
# - total moment (μB/f.u.) = 0.00
data_KCd3Sn2
_symmetry_space_group_name_H-M 'P 1'
_symmetry_Int_Tables_number 1
_symmetry_space_group_name_Hall 'P 1'
_cell_length_a 5.073
_cell_length_b 9.241
_cell_length_c 9.237
_cell_angle_alpha 56.01
_cell_angle_beta 74.06
_cell_angle_gamma 74.07
loop_
_atom_site_label
_atom_site_fract_x
_atom_site_fract_y
_atom_site_fract_z
Cd1 0.000 0.664 0.336
Cd2 0.000 0.336 0.664
Cd3 0.679 0.530 0.111
Cd4 0.321 0.470 0.889
Cd5 0.679 0.113 0.529
Cd6 0.321 0.887 0.471
Sn1 0.500 0.170 0.830
Sn2 0.181 0.319 0.319
Sn3 0.500 0.830 0.170
Sn4 0.819 0.681 0.681
K1 0.866 0.133 0.134
K2 0.134 0.867 0.866

=====

Run B
# KCd3Sn2, optimized geometry, DFT GGA-PBE
# - calculated volume (Å³ per cell) = 357
# - crystal system = monoclinic
# - ρ (g/cm³) = 5.7
# - total moment (μB/f.u.) = 0.00
data_KCd3Sn2
_symmetry_space_group_name_H-M 'P 1'
_symmetry_Int_Tables_number 1
_symmetry_space_group_name_Hall 'P 1'
_cell_length_a 4.939
_cell_length_b 9.239
_cell_length_c 8.864
_cell_angle_alpha 112.74
_cell_angle_beta 90.00
_cell_angle_gamma 105.50
loop_
_atom_site_label
_atom_site_fract_x
_atom_site_fract_y
_atom_site_fract_z
K1 0.151 0.303 0.071
K2 0.849 0.697 0.929
Cd1 0.966 0.931 0.635
Cd2 0.310 0.621 0.547
Cd3 0.404 0.807 0.319
Cd4 0.690 0.379 0.453
Cd5 0.034 0.069 0.365
Cd6 0.596 0.193 0.681
Sn1 0.526 0.053 0.179
Sn2 0.187 0.374 0.689
Sn3 0.474 0.947 0.821
Sn4 0.813 0.626 0.311

=====

Most stable pick: run B. Distance to second place: 0.023 eV/atom.